No. 1
First-principles (PBE) data for a relaxed structure of Hf2PaS, as listed in the Alexandria database.

The structure in POSCAR format:
```
Hf2PaS
1.0
1.6013 0.9245 9.6794
-1.6013 0.9245 9.6794
0.0000 -1.8490 9.6794
Hf Pa S
2 1 1
Direct
0.1034 0.1034 0.1034
0.8966 0.8966 0.8966
0.0000 0.0000 0.0000
0.5000 0.5000 0.5000
```

Results
DOS at the Fermi energy (states/eV/atom): 1.25
Polymorph energy (0 for the lowest one) (kJ/mol of atoms): 33.15
Symmetry: R-3m (166)
Raw formation energy (eV/atom): -0.2423


No. 2
First-principles (PBE) data for a relaxed structure of La5Pr2Sm3, as listed in the Alexandria database.

The structure in POSCAR format:
```
La5Pr2Sm3
1.0
5.6142 -7.4683 0.0000
5.6142 7.4683 0.0000
-5.5961 0.0000 8.6521
La Pr Sm
10 4 6
Direct
0.0180 0.9820 0.7500
0.1249 0.3800 0.7528
0.2253 0.7747 0.7500
0.3800 0.1249 0.2528
0.4747 0.5253 0.2500
0.5253 0.4747 0.7500
0.6200 0.8751 0.7472
0.7747 0.2253 0.2500
0.8751 0.6200 0.2472
0.9820 0.0180 0.2500
0.0293 0.2832 0.0611
0.2832 0.0293 0.5611
0.7168 0.9707 0.4389
0.9707 0.7168 0.9389
0.2233 0.4742 0.4452
0.2678 0.7322 0.2500
0.4742 0.2233 0.9452
0.5258 0.7767 0.0548
0.7322 0.2678 0.7500
0.7767 0.5258 0.5548
```

Results
DOS at the Fermi energy (states/eV/atom): 1.80
Polymorph energy (0 for the lowest one) (kJ/mol of atoms): 0.00
Symmetry: C2/c (15)
Calculated formation energy (eV/atom): 0.1484


No. 3
First-principles (PBE) data for a relaxed structure of GdV2Os, as listed in the Alexandria database.

The structure in POSCAR format:
```
GdV2Os
1.0
0.0000 3.1851 3.1851
3.1851 0.0000 3.1851
3.1851 3.1851 0.0000
Gd V Os
1 2 1
Direct
0.0000 0.0000 0.0000
0.2500 0.2500 0.2500
0.7500 0.7500 0.7500
0.5000 0.5000 0.5000
```

Results
DOS at the Fermi energy (states/eV/atom): 1.49
Symmetry: Fm-3m (225)
Calculated formation energy (eV/atom): 0.1902


No. 4
First-principles (PBE) data for a relaxed structure of Fe2BMo, as listed in the Alexandria database.

The structure in POSCAR format:
```
Fe2BMo
1.0
2.1830 -3.7410 0.0000
2.1830 3.7410 0.0000
0.0000 0.0000 2.7646
Fe B Mo
2 1 1
Direct
0.1805 0.8195 0.0000
0.8195 0.1805 0.0000
0.0000 0.0000 0.5000
0.5000 0.5000 0.5000
```

Results
DOS at the Fermi energy (states/eV/atom): 0.76
Symmetry: Cmmm (65)
Calculated formation energy (eV/atom): 0.0619


No. 5
First-principles (PBE) data for a relaxed structure of KTlZnAu2, as listed in the Alexandria database.

The structure in POSCAR format:
```
KTlZnAu2
1.0
5.1159 0.0000 0.0000
0.0000 5.1159 0.0000
0.0000 0.0000 5.3378
K Tl Zn Au
1 1 1 2
Direct
0.0000 0.0000 0.0000
0.5000 0.5000 0.0000
0.5000 0.5000 0.5000
0.0000 0.5000 0.5000
0.5000 0.0000 0.5000
```

Results
DOS at the Fermi energy (states/eV/atom): 0.34
Symmetry: P4/mmm (123)
Calculated formation energy (eV/atom): -0.0418


No. 6
First-principles (PBE) data for a relaxed structure of ScCr2CdAs, as listed in the Alexandria database.

The structure in POSCAR format:
```
ScCr2CdAs
1.0
4.7298 0.0000 0.0000
0.0000 4.7298 0.0000
0.0000 0.0000 5.2694
Sc Cr Cd As
1 2 1 1
Direct
0.0000 0.0000 0.0000
0.0000 0.5000 0.0000
0.5000 0.0000 0.0000
0.0000 0.0000 0.5000
0.5000 0.5000 0.5000
```

Results
DOS at the Fermi energy (states/eV/atom): 1.27
Symmetry: P4/mmm (123)
Calculated formation energy (eV/atom): 1.4965


Look up the DOS at the Fermi energy of the second one.
1.80 states/eV/atom